[1]
MnTcCl: PBEsol geometry, meta-GGA SCAN.

Cell lengths 2.9322, 2.9322, 5.8083 Å; angles 90.00, 90.00, 120.00 degrees
Positions (direct):
Mn (0.0000, 0.0000, 0.0000)
Tc (0.3333, 0.6667, 0.7000)
Cl (0.6667, 0.3333, 0.3116)

Values from the calculation:
**E_tot**: -20.458 eV/atom
**Space group**: P3m1
**E_form (uncorrected)**: -0.027 eV per atom

[2]
MnOsW2: PBEsol geometry, meta-GGA SCAN.

Cell lengths 3.1005, 4.3200, 8.5491 Å; angles 90.00, 90.00, 90.00 degrees
Positions (direct):
Mn (0.0000, 0.0000, 0.0000)
Mn (0.5000, 0.5000, 0.5000)
Os (0.0000, 0.5000, 0.2420)
Os (0.5000, 0.0000, 0.7420)
W (0.0000, 0.0000, 0.4852)
W (0.0000, 0.5000, 0.7358)
W (0.5000, 0.0000, 0.2358)
W (0.5000, 0.5000, 0.9852)

Values from the calculation:
**E_tot**: -57.283 eV/atom
**Space group**: Imm2
**Relative energy among the computed polymorphs**: 112.5 meV/atom
**Calculated formation energy**: 0.09 eV/atom

[3]
MnBe2In: PBEsol geometry, meta-GGA SCAN.

Cell lengths 2.7476, 2.7476, 24.5344 Å; angles 90.00, 90.00, 120.00 degrees
Positions (direct):
Mn (0.0000, 0.0000, 0.0000)
Mn (0.3333, 0.6667, 0.6667)
Mn (0.6667, 0.3333, 0.3333)
Be (0.0000, 0.0000, 0.2635)
Be (0.0000, 0.0000, 0.7365)
Be (0.3333, 0.6667, 0.4032)
Be (0.3333, 0.6667, 0.9301)
Be (0.6667, 0.3333, 0.0699)
Be (0.6667, 0.3333, 0.5968)
In (0.0000, 0.0000, 0.5000)
In (0.3333, 0.6667, 0.1667)
In (0.6667, 0.3333, 0.8333)

Values from the calculation:
**E_tot**: -14.626 eV/atom
**Space group**: R-3m
**Calculated formation energy**: 0.46 eV/atom